Record 1
Material: Ba3MgZn2Au6
Method: DFT, PBE
State: optimized geometry

Cell: 6.7718 6.7718 8.6383 Å, 90.00 90.00 120.00°
Atoms (fractional coordinates):
1 Ba 0.3333 0.6667 0.6532
2 Ba 0.6667 0.3333 0.3468
3 Ba 0.0000 0.0000 0.0000
4 Mg 0.0000 0.0000 0.5000
5 Zn 0.6667 0.3333 0.9366
6 Zn 0.3333 0.6667 0.0634
7 Au 0.6295 0.8148 0.3003
8 Au 0.1852 0.3705 0.3003
9 Au 0.1852 0.8148 0.3003
10 Au 0.8148 0.6295 0.6997
11 Au 0.3705 0.1852 0.6997
12 Au 0.8148 0.1852 0.6997

Computed properties:
Final energy, eV for the cell shown: -35.29
Total magnetic moment, μB/cell: 0.00
Space group: P-3m1

---

Record 2
Material: Ba3Ac4In4
Method: DFT, PBE
State: optimized geometry

Cell: 5.6287 9.0474 10.5542 Å, 115.38 105.47 90.00°
Atoms (fractional coordinates):
1 Ba 0.1127 0.1127 0.2254
2 Ba 0.8873 0.8873 0.7746
3 Ba 0.0000 0.5000 0.0000
4 Ac 0.3279 0.1187 0.6557
5 Ac 0.6721 0.4630 0.3443
6 Ac 0.6721 0.8813 0.3443
7 Ac 0.3279 0.5370 0.6557
8 In 0.2087 0.7087 0.4174
9 In 0.7913 0.2913 0.5826
10 In 0.5000 0.8335 0.0000
11 In 0.5000 0.1665 0.0000

Computed properties:
Final energy, eV for the cell shown: -35.96
Total magnetic moment, μB/cell: 0.00
Space group: Immm

---

Record 3
Material: Ba2SI
Method: DFT, PBE
State: optimized geometry

Cell: 4.0103 4.0103 8.3128 Å, 90.00 90.00 90.00°
Atoms (fractional coordinates):
1 I 0.5000 0.5000 0.5000
2 S 0.5000 0.5000 0.0000
3 Ba 0.0000 0.0000 0.7834
4 Ba 0.0000 0.0000 0.2166

Computed properties:
Total magnetic moment, μB/cell: 0.00
Space group: P4/mmm
Polymorph energy (0 for the lowest one), meV per atom: 213

---

Record 4
Material: Ho4SnSe2S
Method: DFT, PBE
State: optimized geometry

Cell: 8.2254 8.2254 8.2045 Å, 119.92 119.92 90.08°
Atoms (fractional coordinates):
1 Ho 0.2396 0.7350 0.9874
2 Ho 0.7650 0.2604 0.5126
3 Ho 0.2350 0.7396 0.4874
4 Ho 0.7604 0.2650 0.0126
5 Ho 0.7561 0.7439 0.0068
6 Ho 0.7561 0.7439 0.4932
7 Ho 0.2439 0.2561 0.5068
8 Ho 0.2439 0.2561 0.9932
9 Sn 0.5000 0.5000 0.5000
10 Sn 0.0000 0.0000 0.0000
11 Se 0.5000 0.0000 0.0000
12 Se 0.5000 0.0000 0.5000
13 Se 0.0000 0.0000 0.5000
14 Se 0.5000 0.5000 0.0000
15 S 0.0000 0.5000 0.0000
16 S 0.0000 0.5000 0.5000

Computed properties:
Final energy, eV for the cell shown: -91.05
Total magnetic moment, μB/cell: 0.00
Space group: Imma